Compound: Ga13Sn2
Source: Alexandria via LeMat-Bulk
Functional: PBE
Structure: optimized geometry

a = 7.0921 Å, b = 7.0921 Å, c = 9.7529 Å
α = 68.68°, β = 68.68°, γ = 60.00°
Positions (direct):
Ga1 0.1194 0.7367 0.4072
Ga2 0.4608 0.4608 0.2158
Ga3 0.5392 0.5392 0.7842
Ga4 0.8626 0.4608 0.2158
Ga5 0.7367 0.1194 0.4072
Ga6 0.2633 0.2633 0.5928
Ga7 0.4608 0.8626 0.2158
Ga8 0.8806 0.2633 0.5928
Ga9 0.2633 0.8806 0.5928
Ga10 0.5392 0.1374 0.7842
Ga11 0.5000 0.5000 0.5000
Ga12 0.1374 0.5392 0.7842
Ga13 0.7367 0.7367 0.4072
Sn1 0.6914 0.6914 0.9257
Sn2 0.3086 0.3086 0.0743

Output
D(E_F) = 0.3344 states/eV/atom
total energy = -3.005 eV per atom

***

Compound: Ga2Sn
Source: Alexandria via LeMat-Bulk
Functional: PBE
Structure: optimized geometry

a = 5.7147 Å, b = 5.7147 Å, c = 5.7147 Å
α = 60.00°, β = 60.00°, γ = 60.00°
Positions (direct):
Ga1 0.6250 0.6250 0.6250
Ga2 0.6250 0.1250 0.6250
Ga3 0.1250 0.6250 0.6250
Ga4 0.6250 0.6250 0.1250
Sn1 0.0000 0.0000 0.0000
Sn2 0.2500 0.2500 0.2500

Output
D(E_F) = 0.7339 states/eV/atom
excess energy over the best structure of this formula in the dataset = 22 meV per atom

***

Compound: Ga5Sn4
Source: Alexandria via LeMat-Bulk
Functional: PBE
Structure: optimized geometry

a = 4.3374 Å, b = 7.2727 Å, c = 7.2727 Å
α = 84.90°, β = 72.65°, γ = 72.65°
Positions (direct):
Ga1 0.3396 0.3208 0.0000
Ga2 0.6604 0.0000 0.6792
Ga3 0.6604 0.6792 0.0000
Ga4 0.0000 0.0000 0.0000
Ga5 0.3396 0.0000 0.3208
Sn1 0.0000 0.3194 0.6806
Sn2 0.3194 0.6806 0.6806
Sn3 0.0000 0.6806 0.3194
Sn4 0.6806 0.3194 0.3194

Output
D(E_F) = 0.4432 states/eV/atom
total energy = -3.401 eV per atom

***

Compound: GaSn2
Source: Alexandria via LeMat-Bulk
Functional: PBE
Structure: optimized geometry

a = 3.8377 Å, b = 3.8377 Å, c = 5.6585 Å
α = 108.22°, β = 108.22°, γ = 90.93°
Positions (direct):
Sn1 0.1632 0.1632 0.3225
Sn2 0.8368 0.8368 0.6775
Ga1 0.5000 0.5000 0.0000

Output
D(E_F) = 0.5186 states/eV/atom
excess energy over the best structure of this formula in the dataset = 4 meV per atom

***

Compound: Ga7Sn
Source: Alexandria via LeMat-Bulk
Functional: PBE
Structure: optimized geometry

a = 6.1244 Å, b = 6.1244 Å, c = 6.1244 Å
α = 60.00°, β = 60.00°, γ = 60.00°
Positions (direct):
Ga1 0.5000 0.0000 0.0000
Ga2 0.0000 0.5000 0.5000
Ga3 0.5000 0.0000 0.5000
Ga4 0.5000 0.5000 0.0000
Ga5 0.5000 0.5000 0.5000
Ga6 0.0000 0.5000 0.0000
Ga7 0.0000 0.0000 0.5000
Sn1 0.0000 0.0000 0.0000

Output
D(E_F) = 0.3080 states/eV/atom
excess energy over the best structure of this formula in the dataset = 0 meV per atom

***

Compound: GaSn4
Source: Alexandria via LeMat-Bulk
Functional: PBE
Structure: optimized geometry

a = 5.9684 Å, b = 5.9684 Å, c = 8.2853 Å
α = 107.25°, β = 107.25°, γ = 96.51°
Positions (direct):
Ga1 0.8431 0.1569 0.0000
Ga2 0.1569 0.8431 0.0000
Sn1 0.3862 0.7553 0.7137
Sn2 0.8217 0.8217 0.5595
Sn3 0.1783 0.1783 0.4405
Sn4 0.7150 0.7150 0.1314
Sn5 0.6138 0.2447 0.2863
Sn6 0.2447 0.6138 0.2863
Sn7 0.7553 0.3862 0.7137
Sn8 0.2850 0.2850 0.8686

Output
D(E_F) = 0.4260 states/eV/atom
excess energy over the best structure of this formula in the dataset = 0 meV per atom

***

Compound: GaSn5
Source: Alexandria via LeMat-Bulk
Functional: PBE
Structure: optimized geometry

a = 4.1819 Å, b = 5.3307 Å, c = 7.5773 Å
α = 110.59°, β = 90.00°, γ = 90.00°
Positions (direct):
Sn1 0.5000 0.1514 0.3028
Sn2 0.0000 0.6741 0.3481
Sn3 0.0000 0.3259 0.6519
Sn4 0.5000 0.8486 0.6972
Sn5 0.5000 0.5000 0.0000
Ga1 0.0000 0.0000 0.0000

Output
D(E_F) = 0.3123 states/eV/atom
excess energy over the best structure of this formula in the dataset = 0 meV per atom

***

Compound: Ga6Sn
Source: Alexandria via LeMat-Bulk
Functional: PBE
Structure: optimized geometry

a = 6.3121 Å, b = 6.3121 Å, c = 7.3523 Å
α = 90.00°, β = 90.00°, γ = 90.00°
Positions (direct):
Ga1 0.0000 0.0000 0.1741
Ga2 0.5000 0.5000 0.1741
Ga3 0.6647 0.8353 0.6452
Ga4 0.3353 0.1647 0.6452
Ga5 0.3353 0.8353 0.3548
Ga6 0.8353 0.3353 0.6452
Ga7 0.8353 0.6647 0.3548
Ga8 0.0000 0.0000 0.8259
Ga9 0.5000 0.5000 0.8259
Ga10 0.1647 0.6647 0.6452
Ga11 0.1647 0.3353 0.3548
Ga12 0.6647 0.1647 0.3548
Sn1 0.5000 0.0000 0.0000
Sn2 0.0000 0.5000 0.0000

Output
D(E_F) = 0.4957 states/eV/atom
excess energy over the best structure of this formula in the dataset = 5 meV per atom

***

Compound: Ga4Sn
Source: Alexandria via LeMat-Bulk
Functional: PBE
Structure: optimized geometry

a = 5.3452 Å, b = 5.3452 Å, c = 5.3452 Å
α = 90.00°, β = 90.00°, γ = 90.00°
Positions (direct):
Ga1 0.5000 0.0000 0.5000
Ga2 0.0000 0.0000 0.0000
Ga3 0.0000 0.5000 0.5000
Ga4 0.5000 0.5000 0.0000
Sn1 0.5000 0.5000 0.5000

Output
D(E_F) = 0.6226 states/eV/atom
excess energy over the best structure of this formula in the dataset = 517 meV per atom

***

Compound: Ga6Sn
Source: Alexandria via LeMat-Bulk
Functional: PBE
Structure: optimized geometry

a = 5.9839 Å, b = 8.6492 Å, c = 11.0006 Å
α = 90.00°, β = 90.00°, γ = 90.00°
Positions (direct):
Ga1 0.2500 0.1409 0.9303
Ga2 0.7500 0.8775 0.8244
Ga3 0.0116 0.3973 0.1989
Ga4 0.2500 0.1225 0.1756
Ga5 0.7500 0.3775 0.6756
Ga6 0.5116 0.6027 0.8011
Ga7 0.5116 0.1027 0.6989
Ga8 0.2500 0.4580 0.9810
Ga9 0.9884 0.1027 0.6989
Ga10 0.2500 0.9580 0.5190
Ga11 0.7500 0.0420 0.4810
Ga12 0.2500 0.6225 0.3244
Ga13 0.2500 0.3644 0.7116
Ga14 0.7500 0.1356 0.2116
Ga15 0.9884 0.6027 0.8011
Ga16 0.2500 0.6409 0.5697
Ga17 0.7500 0.8591 0.0697
Ga18 0.4884 0.3973 0.1989
Ga19 0.2500 0.8644 0.7884
Ga20 0.7500 0.6356 0.2884
Ga21 0.0116 0.8973 0.3011
Ga22 0.4884 0.8973 0.3011
Ga23 0.7500 0.5420 0.0190
Ga24 0.7500 0.3591 0.4303
Sn1 0.2500 0.7975 0.0517
Sn2 0.7500 0.7025 0.5517
Sn3 0.2500 0.2975 0.4483
Sn4 0.7500 0.2025 0.9483

Output
D(E_F) = 0.3837 states/eV/atom
excess energy over the best structure of this formula in the dataset = 0 meV per atom

***

Compound: Ga4Sn
Source: Alexandria via LeMat-Bulk
Functional: PBE
Structure: optimized geometry

a = 6.4000 Å, b = 4.4609 Å, c = 4.5280 Å
α = 119.58°, β = 100.91°, γ = 89.96°
Positions (direct):
Ga1 0.2806 0.3785 0.7590
Ga2 0.6708 0.2830 0.5636
Ga3 0.3292 0.7170 0.4364
Ga4 0.7194 0.6215 0.2410
Sn1 0.0000 0.0000 0.0000

Output
D(E_F) = 0.3878 states/eV/atom
excess energy over the best structure of this formula in the dataset = 0 meV per atom

***

Compound: Ga2Sn3
Source: Alexandria via LeMat-Bulk
Functional: PBE
Structure: optimized geometry

a = 3.7864 Å, b = 3.7864 Å, c = 8.8644 Å
α = 102.33°, β = 102.33°, γ = 90.00°
Positions (direct):
Sn1 0.8070 0.8070 0.6139
Sn2 0.1930 0.1930 0.3861
Sn3 0.0000 0.0000 0.0000
Ga1 0.5955 0.5955 0.1910
Ga2 0.4045 0.4045 0.8090

Output
D(E_F) = 0.5530 states/eV/atom
excess energy over the best structure of this formula in the dataset = 0 meV per atom